(1)
# TmLuS2Cl2 | OQMD via LeMat-Bulk | PBE | relaxed
data_TmLuS2Cl2
_chemical_formula_sum 'Tm1 Lu1 S2 Cl2'
_space_group_name_H-M_alt 'P m m 2'
_space_group_IT_number 25
_cell_length_a 3.889
_cell_length_b 5.270
_cell_length_c 8.225
_cell_angle_alpha 90.00
_cell_angle_beta 90.00
_cell_angle_gamma 90.00
loop_
_space_group_symop_operation_xyz
'x,y,z'
'-x,-y,z'
'-x,y,z'
'x,-y,z'
loop_
_atom_site_label
_atom_site_fract_x
_atom_site_fract_y
_atom_site_fract_z
Tm1 0.000 0.000 0.000
Lu1 0.500 0.500 0.274
S1 0.000 0.500 0.048
S2 0.500 0.000 0.228
Cl1 0.000 0.500 0.484
Cl2 0.500 0.000 0.786
# Total magnetization   0.00 μB per formula unit
# Volume   28.1 Å³ per atom

***

(2)
# PrGe4Pd3 | OQMD via LeMat-Bulk | PBE | relaxed
data_PrGe4Pd3
_chemical_formula_sum 'Pr1 Ge4 Pd3'
_space_group_name_H-M_alt 'P 1 m 1'
_space_group_IT_number 6
_cell_length_a 6.360
_cell_length_b 3.586
_cell_length_c 6.833
_cell_angle_alpha 90.00
_cell_angle_beta 90.44
_cell_angle_gamma 90.00
loop_
_space_group_symop_operation_xyz
'x,y,z'
'x,-y,z'
loop_
_atom_site_label
_atom_site_fract_x
_atom_site_fract_y
_atom_site_fract_z
Pr1 0.000 0.000 0.000
Ge1 0.189 0.000 0.401
Ge2 0.358 0.500 0.863
Ge3 0.660 0.000 0.708
Ge4 0.760 0.500 0.271
Pd1 0.459 0.500 0.500
Pd2 0.492 0.000 0.120
Pd3 0.993 0.500 0.596
# Total magnetization   0.00 μB per formula unit
# Volume   19.5 Å³ per atom

***

(3)
# HoMg | OQMD via LeMat-Bulk | PBE | relaxed
data_HoMg
_chemical_formula_sum 'Ho8 Mg8'
_space_group_name_H-M_alt 'P m m n'
_space_group_IT_number 59
_cell_length_a 5.374
_cell_length_b 7.028
_cell_length_c 11.434
_cell_angle_alpha 90.00
_cell_angle_beta 90.00
_cell_angle_gamma 90.00
loop_
_space_group_symop_operation_xyz
'x,y,z'
'-x,-y,-z'
'-x+1/2,-y+1/2,z'
'x+1/2,y+1/2,-z'
'x+1/2,-y,-z'
'-x+1/2,y,z'
'-x,y+1/2,-z'
'x,-y+1/2,z'
loop_
_atom_site_label
_atom_site_fract_x
_atom_site_fract_y
_atom_site_fract_z
Ho1 0.250 0.006 0.090
Ho2 0.250 0.250 0.352
Ho3 0.250 0.250 0.816
Mg1 0.250 0.506 0.587
Mg2 0.250 0.750 0.358
Mg3 0.250 0.750 0.826
# Total magnetization   0.07 μB per formula unit
# Volume   27.0 Å³ per atom

***

(4)
# InAsPtO | OQMD via LeMat-Bulk | PBE | relaxed
data_InAsPtO
_chemical_formula_sum 'In2 As2 Pt2 O2'
_space_group_name_H-M_alt 'P 4/n m m'
_space_group_IT_number 129
_cell_length_a 3.922
_cell_length_b 3.922
_cell_length_c 9.325
_cell_angle_alpha 90.00
_cell_angle_beta 90.00
_cell_angle_gamma 90.00
loop_
_space_group_symop_operation_xyz
'x,y,z'
'-x,-y,-z'
'-y+1/2,x,z'
'y+1/2,-x,-z'
'-x+1/2,-y+1/2,z'
'x+1/2,y+1/2,-z'
'y,-x+1/2,z'
'-y,x+1/2,-z'
'x+1/2,-y,-z'
'-x+1/2,y,z'
'-y,-x,-z'
'y,x,z'
'-x,y+1/2,-z'
'x,-y+1/2,z'
'y+1/2,x+1/2,-z'
'-y+1/2,-x+1/2,z'
loop_
_atom_site_label
_atom_site_fract_x
_atom_site_fract_y
_atom_site_fract_z
In1 0.250 0.250 0.110
As1 0.250 0.250 0.676
Pt1 0.250 0.750 0.500
O1 0.250 0.750 0.000
# Total magnetization   0.01 μB per formula unit
# Volume   17.9 Å³ per atom
# Energy relative to the lowest polymorph listed for this composition   0 meV per atom

***

(5)
# TbAl3Cu2 | OQMD via LeMat-Bulk | PBE | relaxed
data_TbAl3Cu2
_chemical_formula_sum 'Tb1 Al3 Cu2'
_space_group_name_H-M_alt 'P 6/m m m'
_space_group_IT_number 191
_space_group_name_Hall '-P 6 2'
_cell_length_a 5.3442
_cell_length_b 5.3442
_cell_length_c 4.0400
_cell_angle_alpha 90.00
_cell_angle_beta 90.00
_cell_angle_gamma 120.00
loop_
_atom_site_label
_atom_site_fract_x
_atom_site_fract_y
_atom_site_fract_z
Tb1 0.0000 0.0000 0.0000
Al1 0.0000 0.5000 0.5000
Cu1 0.3333 0.6667 0.0000
# Total magnetization   0.00 μB per formula unit
# Volume   16.7 Å³ per atom

***

(6)
# DyTmSbCl2 | OQMD via LeMat-Bulk | PBE | relaxed
data_DyTmSbCl2
_chemical_formula_sum 'Dy1 Tm1 Sb1 Cl2'
_space_group_name_H-M_alt 'P 3 m 1'
_space_group_IT_number 156
_cell_length_a 4.1114
_cell_length_b 4.1114
_cell_length_c 10.4358
_cell_angle_alpha 90.00
_cell_angle_beta 90.00
_cell_angle_gamma 120.00
loop_
_space_group_symop_operation_xyz
'x,y,z'
'-y,x-y,z'
'-x+y,-x,z'
'-y,-x,z'
'-x+y,y,z'
'x,x-y,z'
loop_
_atom_site_label
_atom_site_fract_x
_atom_site_fract_y
_atom_site_fract_z
Dy1 0.0000 0.0000 0.0000
Tm1 0.3333 0.6667 0.3386
Sb1 0.6667 0.3333 0.1724
Cl1 0.0000 0.0000 0.4834
Cl2 0.3333 0.6667 0.8511
# Total magnetization   0.02 μB per formula unit
# Volume   30.6 Å³ per atom

***

(7)
# HfTe2Ir | OQMD via LeMat-Bulk | PBE | relaxed
data_HfTe2Ir
_chemical_formula_sum 'Hf4 Te8 Ir4'
_space_group_name_H-M_alt 'F -4 3 m'
_space_group_IT_number 216
_space_group_name_Hall 'F -4 2 3'
_cell_length_a 7.012
_cell_length_b 7.012
_cell_length_c 7.012
_cell_angle_alpha 90.00
_cell_angle_beta 90.00
_cell_angle_gamma 90.00
loop_
_atom_site_label
_atom_site_fract_x
_atom_site_fract_y
_atom_site_fract_z
Hf1 0.000 0.000 0.000
Te1 0.000 0.000 0.500
Te2 0.250 0.250 0.750
Ir1 0.250 0.250 0.250
# Total magnetization   0.00 μB per formula unit
# Volume   21.5 Å³ per atom

***

(8)
# AcZn2Au2 | OQMD via LeMat-Bulk | PBE | relaxed
data_AcZn2Au2
_chemical_formula_sum 'Ac4 Zn8 Au8'
_space_group_name_H-M_alt 'F m m m'
_space_group_IT_number 69
_space_group_name_Hall '-F 2 2'
_cell_length_a 6.128
_cell_length_b 6.179
_cell_length_c 11.834
_cell_angle_alpha 90.00
_cell_angle_beta 90.00
_cell_angle_gamma 90.00
loop_
_atom_site_label
_atom_site_fract_x
_atom_site_fract_y
_atom_site_fract_z
Ac1 0.000 0.000 0.000
Zn1 0.250 0.250 0.250
Au1 0.000 0.000 0.379
# Total magnetization   0.01 μB per formula unit
# Energy relative to the elements   -0.58 eV/atom
# Volume   22.4 Å³ per atom

***

(9)
# Ta10W3 | OQMD via LeMat-Bulk | PBE | relaxed
data_Ta10W3
_chemical_formula_sum 'Ta30 W9'
_space_group_name_H-M_alt 'R -3 m'
_space_group_IT_number 166
_space_group_name_Hall '-R 3 2"'
_cell_length_a 5.4241
_cell_length_b 5.4241
_cell_length_c 28.0205
_cell_angle_alpha 90.00
_cell_angle_beta 90.00
_cell_angle_gamma 120.00
loop_
_atom_site_label
_atom_site_fract_x
_atom_site_fract_y
_atom_site_fract_z
Ta1 0.0000 0.0000 0.0454
Ta2 0.0000 0.0000 0.1482
Ta3 0.0025 0.5012 0.9110
W1 0.0000 0.0000 0.3322
W2 0.0000 0.0000 0.5000
# Total magnetization   0.01 μB per formula unit
# Energy relative to the elements   0.16 eV/atom
# Volume   18.3 Å³ per atom
# Energy relative to the lowest polymorph listed for this composition   34 meV per atom

***

(10)
# HfZr2Cu2As4Pd2 | OQMD via LeMat-Bulk | PBE | relaxed
data_HfZr2Cu2As4Pd2
_chemical_formula_sum 'Hf1 Zr2 Cu2 As4 Pd2'
_space_group_name_H-M_alt 'P 1 m 1'
_space_group_IT_number 6
_cell_length_a 6.567
_cell_length_b 3.898
_cell_length_c 7.665
_cell_angle_alpha 90.00
_cell_angle_beta 90.62
_cell_angle_gamma 90.00
loop_
_space_group_symop_operation_xyz
'x,y,z'
'x,-y,z'
loop_
_atom_site_label
_atom_site_fract_x
_atom_site_fract_y
_atom_site_fract_z
Hf1 0.000 0.000 0.000
Zr1 0.427 0.500 0.508
Zr2 0.925 0.500 0.645
Cu1 0.087 0.000 0.373
Cu2 0.832 0.500 0.259
As1 0.217 0.500 0.208
As2 0.218 0.000 0.685
As3 0.707 0.500 0.963
As4 0.713 0.000 0.432
Pd1 0.312 0.500 0.896
Pd2 0.616 0.000 0.768
# Total magnetization   0.01 μB per formula unit
# Volume   17.8 Å³ per atom

***

| no. | uncorrected energy (eV per formula unit) |
| --- | --- |
| 1 | -34.03 |
| 2 | -41.48 |
| 3 | -6.17 |
| 4 | -20.72 |
| 5 | -25.93 |
| 6 | -24.83 |
| 7 | -24.17 |
| 8 | -16.05 |
| 9 | -155.30 |
| 10 | -70.84 |